Record 1
Compound: TbY5Tm3
Source: Alexandria via LeMat-Bulk
Functional: PBE-GGA
Structure: optimized geometry

* N(E_F): 27.5 states/eV per cell
* energy of formation from the pure elements: 1.953 eV/f.u.

Unit cell a=8.689 b=8.689 c=11.682 alpha=106.88 beta=106.88 gamma=45.00
Fractional coordinates of all 18 atoms:
Tb 0.192 0.808 0.750
Tb 0.808 0.192 0.250
Y 0.022 0.411 0.765
Y 0.262 0.371 0.550
Y 0.300 0.700 0.250
Y 0.371 0.262 0.050
Y 0.411 0.022 0.265
Y 0.589 0.978 0.735
Y 0.629 0.738 0.950
Y 0.700 0.300 0.750
Y 0.738 0.629 0.450
Y 0.978 0.589 0.235
Tm 0.055 0.159 0.013
Tm 0.159 0.055 0.513
Tm 0.500 0.500 0.000
Tm 0.500 0.500 0.500
Tm 0.841 0.945 0.487
Tm 0.945 0.841 0.987

---

Record 2
Compound: TbY2Tm6
Source: Alexandria via LeMat-Bulk
Functional: PBE-GGA
Structure: optimized geometry

* N(E_F): 15.5 states/eV per cell
* energy of formation from the pure elements: 0.430 eV/f.u.

Unit cell a=3.566 b=3.566 c=25.664 alpha=90.00 beta=90.00 gamma=120.00
Fractional coordinates of all 9 atoms:
Tb 0.000 0.000 0.000
Y 0.333 0.667 0.327
Y 0.333 0.667 0.673
Tm 0.000 0.000 0.217
Tm 0.000 0.000 0.435
Tm 0.000 0.000 0.565
Tm 0.000 0.000 0.783
Tm 0.333 0.667 0.109
Tm 0.333 0.667 0.891

---

Record 3
Compound: Tb2Y2Tm3
Source: Alexandria via LeMat-Bulk
Functional: PBE-GGA
Structure: optimized geometry

* N(E_F): 18.9 states/eV per cell
* energy of formation from the pure elements: 1.719 eV/f.u.

Unit cell a=8.353 b=8.353 c=8.353 alpha=109.47 beta=109.47 gamma=109.47
Fractional coordinates of all 14 atoms:
Tb 0.000 0.690 0.500
Tb 0.500 0.000 0.690
Tb 0.690 0.500 0.000
Tb 0.810 0.810 0.810
Y 0.000 0.090 0.500
Y 0.090 0.500 0.000
Y 0.410 0.410 0.410
Y 0.500 0.000 0.090
Tm 0.188 0.938 0.250
Tm 0.250 0.188 0.938
Tm 0.312 0.562 0.750
Tm 0.562 0.750 0.312
Tm 0.750 0.312 0.562
Tm 0.938 0.250 0.188

---

Record 4
Compound: Tb2Y3Tm4
Source: Alexandria via LeMat-Bulk
Functional: PBE-GGA
Structure: optimized geometry

* N(E_F): 28.1 states/eV per cell
* energy of formation from the pure elements: 0.937 eV/f.u.

Unit cell a=10.082 b=10.082 c=5.948 alpha=95.74 beta=95.74 gamma=69.53
Fractional coordinates of all 18 atoms:
Tb 0.006 0.785 0.719
Tb 0.215 0.994 0.781
Tb 0.785 0.006 0.219
Tb 0.994 0.215 0.281
Y 0.152 0.848 0.250
Y 0.183 0.487 0.415
Y 0.487 0.183 0.915
Y 0.513 0.817 0.085
Y 0.817 0.513 0.585
Y 0.848 0.152 0.750
Tm 0.123 0.340 0.878
Tm 0.330 0.546 0.953
Tm 0.340 0.123 0.378
Tm 0.454 0.670 0.547
Tm 0.546 0.330 0.453
Tm 0.660 0.877 0.622
Tm 0.670 0.454 0.047
Tm 0.877 0.660 0.122